NbTcB3 after structural relaxation. Source: the Alexandria database, functional GGA-PBE.

Cell: 3.3994 18.7138 3.0413 Å, 90.00 90.00 90.00°
Space group Cmcm (No. 63)
Unique sites:
Nb (0.0000, 0.0728, 0.2500) [4 per cell]
Tc (0.0000, 0.1999, 0.7500) [4 per cell]
B (0.0000, 0.3243, 0.7500) [4 per cell]
B (0.0000, 0.3771, 0.2500) [4 per cell]
B (0.0000, 0.4759, 0.2500) [4 per cell]

offset from the most stable computed form	0	meV/atom
calculated formation energy	-0.584	eV/atom